P | Compound: SnBIr
Source: Alexandria
Functional: PBE
Structure: relaxed

Unit cell a=3.7383 b=3.7383 c=7.0509 alpha=90.00 beta=90.00 gamma=90.00
Space group I4mm (No. 107)
Symmetry-distinct sites (fractional):
Sn1 0.0000 0.0000 0.0000 x2
B1 0.0000 0.0000 0.6707 x2
Ir1 0.0000 0.0000 0.3869 x2

Results
spin magnetization = 0.0 μB/cell

Q | Compound: SnBIr
Source: Alexandria
Functional: PBE
Structure: relaxed

Unit cell a=3.8954 b=4.0586 c=7.0160 alpha=77.69 beta=89.31 gamma=89.95
Space group P-1 (No. 2)
Symmetry-distinct sites (fractional):
Sn1 0.2496 0.2247 0.0865 x2
B1 0.2521 0.7860 0.3907 x2
Ir1 0.2501 0.2572 0.4846 x2

Results
spin magnetization = 0.0 μB/cell

Energies relative to the most stable structure are P 627; Q 0, reported in meV/atom.

P | Compound: SnBIr2
Source: Alexandria
Functional: PBE
Structure: relaxed

Unit cell a=5.4212 b=5.4212 c=9.9986 alpha=90.00 beta=90.00 gamma=90.00
Space group I-42d (No. 122)
Symmetry-distinct sites (fractional):
Sn1 0.0000 0.0000 0.0000 x4
B1 0.0000 0.0000 0.5000 x4
Ir1 0.1539 0.2500 0.6250 x8

Results
spin magnetization = 0.0 μB/cell

Q | Compound: SnBIr2
Source: Alexandria
Functional: PBE
Structure: relaxed

Unit cell a=3.3812 b=3.3812 c=18.3341 alpha=90.00 beta=90.00 gamma=120.00
Space group R-3m (No. 166, hexagonal axes)
Symmetry-distinct sites (fractional):
Sn1 0.0000 0.0000 0.0000 x3
B1 0.0000 0.0000 0.5000 x3
Ir1 0.0000 0.0000 0.2209 x6

Results
spin magnetization = 0.0 μB/cell

Energies relative to the most stable structure are P 265; Q 0, reported in meV/atom.

P | Compound: SnBIr2
Source: Alexandria
Functional: PBE
Structure: relaxed

Unit cell a=3.4434 b=3.4434 c=17.6784 alpha=90.00 beta=90.00 gamma=120.00
Space group R3m (No. 160, hexagonal axes)
Symmetry-distinct sites (fractional):
Sn1 0.0000 0.0000 0.0000 x3
B1 0.0000 0.0000 0.1669 x3
Ir1 0.0000 0.0000 0.5524 x3
Ir2 0.0000 0.0000 0.7764 x3

Results
spin magnetization = 0.0 μB/cell

Q | Compound: SnBIr2
Source: Alexandria
Functional: PBE
Structure: relaxed

Unit cell a=6.1463 b=6.1463 c=6.1463 alpha=90.00 beta=90.00 gamma=90.00
Space group Fm-3m (No. 225)
Symmetry-distinct sites (fractional):
Sn1 0.0000 0.0000 0.0000 x4
B1 0.0000 0.0000 0.5000 x4
Ir1 0.2500 0.2500 0.2500 x8

Results
spin magnetization = 1.9 μB/cell

Energies relative to the most stable structure are P 0; Q 705, reported in meV/atom.

P | Compound: SnBIr3
Source: Alexandria
Functional: PBE
Structure: relaxed

Unit cell a=4.1927 b=4.1927 c=4.1927 alpha=90.00 beta=90.00 gamma=90.00
Space group Pm-3m (No. 221)
Symmetry-distinct sites (fractional):
Sn1 0.0000 0.0000 0.0000 x1
B1 0.5000 0.5000 0.5000 x1
Ir1 0.0000 0.5000 0.5000 x3

Results
spin magnetization = 0.0 μB/cell

Q | Compound: SnBIr3
Source: Alexandria
Functional: PBE
Structure: relaxed

Unit cell a=4.8968 b=4.8968 c=4.8968 alpha=90.00 beta=90.00 gamma=90.00
Space group Pm-3m (No. 221)
Symmetry-distinct sites (fractional):
Sn1 0.0000 0.0000 0.0000 x1
B1 0.5000 0.5000 0.5000 x1
Ir1 0.0000 0.0000 0.5000 x3

Results
spin magnetization = 1.7 μB/cell

Energies relative to the most stable structure are P 0; Q 2737, reported in meV/atom.

P | Compound: SrBIr
Source: Alexandria
Functional: PBE
Structure: relaxed

Unit cell a=3.6590 b=3.6590 c=4.8371 alpha=90.00 beta=90.00 gamma=120.00
Space group P-6m2 (No. 187)
Symmetry-distinct sites (fractional):
Sr1 0.0000 0.0000 0.0000 x1
B1 0.3333 0.6667 0.5000 x1
Ir1 0.6667 0.3333 0.5000 x1

Results
spin magnetization = 0.0 μB/cell

Q | Compound: SrBIr
Source: Alexandria
Functional: PBE
Structure: relaxed

Unit cell a=3.9389 b=3.9389 c=8.7773 alpha=90.00 beta=90.00 gamma=90.00
Space group P4/nmm (No. 129, origin choice 2)
Symmetry-distinct sites (fractional):
Sr1 0.2500 0.2500 0.2059 x2
B1 0.2500 0.2500 0.5982 x2
Ir1 0.2500 0.7500 0.5000 x2

Results
spin magnetization = 0.0 μB/cell

Energies relative to the most stable structure are P 71; Q 0, reported in meV/atom.

P | Compound: SrB2Ir
Source: Alexandria
Functional: PBE
Structure: relaxed

Unit cell a=4.8336 b=4.8336 c=12.7085 alpha=90.00 beta=90.00 gamma=90.00
Space group I4_1/amd (No. 141, origin choice 2)
Symmetry-distinct sites (fractional):
Sr1 0.0000 0.2500 0.3750 x4
B1 0.0000 0.0000 0.0000 x8
Ir1 0.0000 0.2500 0.8750 x4

Results
spin magnetization = 0.0 μB/cell

Q | Compound: SrB2Ir
Source: Alexandria
Functional: PBE
Structure: relaxed

Unit cell a=3.7265 b=3.7265 c=15.5620 alpha=90.00 beta=90.00 gamma=120.00
Space group R-3m (No. 166, hexagonal axes)
Symmetry-distinct sites (fractional):
Sr1 0.0000 0.0000 0.0000 x3
B1 0.0000 0.0000 0.1888 x6
Ir1 0.0000 0.0000 0.5000 x3

Results
spin magnetization = 0.0 μB/cell

R | Compound: SrB2Ir
Source: Alexandria
Functional: PBE
Structure: relaxed

Unit cell a=6.0585 b=6.0585 c=6.0585 alpha=90.00 beta=90.00 gamma=90.00
Space group Fm-3m (No. 225)
Symmetry-distinct sites (fractional):
Sr1 0.0000 0.0000 0.0000 x4
B1 0.2500 0.2500 0.2500 x8
Ir1 0.0000 0.0000 0.5000 x4

Results
spin magnetization = 0.0 μB/cell

Energies relative to the most stable structure are P 0; Q 164; R 1176, reported in meV/atom.

P | Compound: SrB4Ir4
Source: Alexandria
Functional: PBE
Structure: relaxed

Unit cell a=7.7381 b=7.7381 c=3.9896 alpha=90.00 beta=90.00 gamma=90.00
Space group P4_2/n (No. 86, origin choice 2)
Symmetry-distinct sites (fractional):
Sr1 0.2500 0.2500 0.2500 x2
B1 0.0304 0.9084 0.1436 x8
Ir1 0.0963 0.6384 0.1443 x8

Results
spin magnetization = 0.0 μB/cell

Q | Compound: SrB4Ir4
Source: Alexandria
Functional: PBE
Structure: relaxed

Unit cell a=5.4537 b=5.4537 c=7.5341 alpha=90.00 beta=90.00 gamma=90.00
Space group P4_2/nmc (No. 137, origin choice 2)
Symmetry-distinct sites (fractional):
Sr1 0.2500 0.7500 0.2500 x2
B1 0.0752 0.2500 0.0936 x8
Ir1 0.0023 0.7500 0.6103 x8

Results
spin magnetization = 0.0 μB/cell

Energies relative to the most stable structure are P 0; Q 130, reported in meV/atom.

P | Compound: Sr2BTeIr
Source: Alexandria
Functional: PBE
Structure: relaxed

Unit cell a=5.7017 b=5.7017 c=4.0188 alpha=90.00 beta=90.00 gamma=90.00
Space group P4/mmm (No. 123)
Symmetry-distinct sites (fractional):
Sr1 0.0000 0.5000 0.0000 x2
B1 0.0000 0.0000 0.0000 x1
Te1 0.5000 0.5000 0.5000 x1
Ir1 0.0000 0.0000 0.5000 x1

Results
spin magnetization = 0.0 μB/cell

Q | Compound: Sr2BTeIr
Source: Alexandria
Functional: PBE
Structure: relaxed

Unit cell a=5.8362 b=5.8362 c=4.1200 alpha=90.00 beta=90.00 gamma=90.00
Space group P4/mmm (No. 123)
Symmetry-distinct sites (fractional):
Sr1 0.0000 0.5000 0.0000 x2
B1 0.0000 0.0000 0.5000 x1
Te1 0.5000 0.5000 0.5000 x1
Ir1 0.0000 0.0000 0.0000 x1

Results
spin magnetization = 0.0 μB/cell

Energies relative to the most stable structure are P 0; Q 41, reported in meV/atom.

P | Compound: Ta2B2Ir
Source: Alexandria
Functional: PBE
Structure: relaxed

Unit cell a=5.7541 b=5.7541 c=3.6609 alpha=90.00 beta=90.00 gamma=90.00
Space group P4/mbm (No. 127)
Symmetry-distinct sites (fractional):
Ta1 0.1735 0.3265 0.0000 x4
B1 0.1160 0.6160 0.5000 x4
Ir1 0.0000 0.0000 0.5000 x2

Results
spin magnetization = 0.0 μB/cell

Q | Compound: Ta2B2Ir
Source: Alexandria
Functional: PBE
Structure: relaxed

Unit cell a=2.9232 b=2.9232 c=15.0599 alpha=90.00 beta=90.00 gamma=90.00
Space group I4/mmm (No. 139)
Symmetry-distinct sites (fractional):
Ta1 0.0000 0.0000 0.1236 x4
B1 0.0000 0.5000 0.2500 x4
Ir1 0.0000 0.0000 0.5000 x2

Results
spin magnetization = 0.0 μB/cell

Energies relative to the most stable structure are P 0; Q 499, reported in meV/atom.

P | Compound: TbB4Ir4
Source: Alexandria
Functional: PBE
Structure: relaxed

Unit cell a=5.4079 b=5.4079 c=7.4885 alpha=90.00 beta=90.00 gamma=90.00
Space group P4_2/nmc (No. 137, origin choice 2)
Symmetry-distinct sites (fractional):
Tb1 0.2500 0.7500 0.2500 x2
B1 0.0777 0.2500 0.0959 x8
Ir1 0.0009 0.7500 0.6063 x8

Results
spin magnetization = 0.0 μB/cell

Q | Compound: TbB4Ir4
Source: Alexandria
Functional: PBE
Structure: relaxed

Unit cell a=7.6476 b=7.6476 c=3.9917 alpha=90.00 beta=90.00 gamma=90.00
Space group P4_2/n (No. 86, origin choice 2)
Symmetry-distinct sites (fractional):
Tb1 0.2500 0.2500 0.2500 x2
B1 0.0280 0.9076 0.1389 x8
Ir1 0.0899 0.6405 0.1376 x8

Results
spin magnetization = 0.0 μB/cell

Energies relative to the most stable structure are P 53; Q 0, reported in meV/atom.

P | Compound: TcB3Ir
Source: Alexandria
Functional: PBE
Structure: relaxed

Unit cell a=3.9745 b=3.9745 c=3.9745 alpha=90.00 beta=90.00 gamma=90.00
Space group Pm-3m (No. 221)
Symmetry-distinct sites (fractional):
Tc1 0.0000 0.0000 0.0000 x1
B1 0.0000 0.0000 0.5000 x3
Ir1 0.5000 0.5000 0.5000 x1

Results
spin magnetization = 0.0 μB/cell

Q | Compound: TcB3Ir
Source: Alexandria
Functional: PBE
Structure: relaxed

Unit cell a=4.0428 b=4.0428 c=4.0428 alpha=90.00 beta=90.00 gamma=90.00
Space group Pm-3m (No. 221)
Symmetry-distinct sites (fractional):
Tc1 0.0000 0.0000 0.0000 x1
B1 0.0000 0.5000 0.5000 x3
Ir1 0.5000 0.5000 0.5000 x1

Results
spin magnetization = 3.0 μB/cell

Energies relative to the most stable structure are P 219; Q 0, reported in meV/atom.

P | Compound: TcB2Ir
Source: Alexandria
Functional: PBE
Structure: relaxed

Unit cell a=2.9399 b=2.9399 c=17.1761 alpha=90.00 beta=90.00 gamma=120.00
Space group R3m (No. 160, hexagonal axes)
Symmetry-distinct sites (fractional):
Tc1 0.0000 0.0000 0.0000 x3
B1 0.0000 0.0000 0.2517 x3
B2 0.0000 0.0000 0.4154 x3
Ir1 0.0000 0.0000 0.8321 x3

Results
spin magnetization = 0.0 μB/cell

Q | Compound: TcB2Ir
Source: Alexandria
Functional: PBE
Structure: relaxed

Unit cell a=5.4656 b=5.4656 c=5.4656 alpha=90.00 beta=90.00 gamma=90.00
Space group Fm-3m (No. 225)
Symmetry-distinct sites (fractional):
Tc1 0.0000 0.0000 0.0000 x4
B1 0.2500 0.2500 0.2500 x8
Ir1 0.0000 0.0000 0.5000 x4

Results
spin magnetization = 0.0 μB/cell

Energies relative to the most stable structure are P 0; Q 183, reported in meV/atom.